Record 1
# CaBe2Hg, relaxed, DFT PBE-GGA
# - E_tot: -28.66 eV per cell
# - Energy of formation from the pure elements: 51 meV/atom
data_CaBe2Hg
_chemical_formula_sum 'Ca3 Be6 Hg3'
_symmetry_space_group_name_H-M 'R -3 m'
_symmetry_Int_Tables_number 166
_symmetry_space_group_name_Hall '-R 3 2"'
_cell_length_a 4.1403
_cell_length_b 4.1403
_cell_length_c 15.4086
_cell_angle_alpha 90.00
_cell_angle_beta 90.00
_cell_angle_gamma 120.00
loop_
_atom_site_label
_atom_site_fract_x
_atom_site_fract_y
_atom_site_fract_z
Ca1 0.0000 0.0000 0.0000
Be1 0.0000 0.0000 0.1886
Hg1 0.0000 0.0000 0.5000


Record 2
# CaLaBeHg2, relaxed, DFT PBE-GGA
# - E_tot: -8.39 eV per cell
# - Energy of formation from the pure elements: 575 meV/atom
data_CaLaBeHg2
_chemical_formula_sum 'Ca1 La1 Be1 Hg2'
_symmetry_space_group_name_H-M 'P 4/m m m'
_symmetry_Int_Tables_number 123
_symmetry_space_group_name_Hall '-P 4 2'
_cell_length_a 5.878
_cell_length_b 5.878
_cell_length_c 5.185
_cell_angle_alpha 90.00
_cell_angle_beta 90.00
_cell_angle_gamma 90.00
loop_
_atom_site_label
_atom_site_fract_x
_atom_site_fract_y
_atom_site_fract_z
Ca1 0.000 0.000 0.000
La1 0.500 0.500 0.500
Be1 0.500 0.500 0.000
Hg1 0.000 0.500 0.500


Record 3
# CaBe2HgPd, relaxed, DFT PBE-GGA
# - E_tot: -14.69 eV per cell
# - Energy of formation from the pure elements: 52 meV/atom
data_CaBe2HgPd
_chemical_formula_sum 'Ca1 Be2 Hg1 Pd1'
_symmetry_space_group_name_H-M 'P 4/m m m'
_symmetry_Int_Tables_number 123
_symmetry_space_group_name_Hall '-P 4 2'
_cell_length_a 4.415
_cell_length_b 4.415
_cell_length_c 5.181
_cell_angle_alpha 90.00
_cell_angle_beta 90.00
_cell_angle_gamma 90.00
loop_
_atom_site_label
_atom_site_fract_x
_atom_site_fract_y
_atom_site_fract_z
Ca1 0.000 0.000 0.000
Be1 0.000 0.500 0.500
Hg1 0.500 0.500 0.000
Pd1 0.500 0.500 0.500


Record 4
# CaBeHgPd2, relaxed, DFT PBE-GGA
# - E_tot: -18.26 eV per cell
# - Energy of formation from the pure elements: -369 meV/atom
data_CaBeHgPd2
_chemical_formula_sum 'Ca1 Be1 Hg1 Pd2'
_symmetry_space_group_name_H-M 'P 4/m m m'
_symmetry_Int_Tables_number 123
_symmetry_space_group_name_Hall '-P 4 2'
_cell_length_a 4.475
_cell_length_b 4.475
_cell_length_c 4.625
_cell_angle_alpha 90.00
_cell_angle_beta 90.00
_cell_angle_gamma 90.00
loop_
_atom_site_label
_atom_site_fract_x
_atom_site_fract_y
_atom_site_fract_z
Ca1 0.000 0.000 0.000
Be1 0.500 0.500 0.500
Hg1 0.500 0.500 0.000
Pd1 0.000 0.500 0.500


Record 5
# CaBeHgPt2, relaxed, DFT PBE-GGA
# - E_tot: -20.26 eV per cell
# - Energy of formation from the pure elements: -430 meV/atom
data_CaBeHgPt2
_chemical_formula_sum 'Ca1 Be1 Hg1 Pt2'
_symmetry_space_group_name_H-M 'P 4/m m m'
_symmetry_Int_Tables_number 123
_symmetry_space_group_name_Hall '-P 4 2'
_cell_length_a 4.442
_cell_length_b 4.442
_cell_length_c 4.662
_cell_angle_alpha 90.00
_cell_angle_beta 90.00
_cell_angle_gamma 90.00
loop_
_atom_site_label
_atom_site_fract_x
_atom_site_fract_y
_atom_site_fract_z
Ca1 0.000 0.000 0.000
Be1 0.500 0.500 0.500
Hg1 0.500 0.500 0.000
Pt1 0.000 0.500 0.500


Record 6
# Ca2BeTlHg, relaxed, DFT PBE-GGA
# - E_tot: -7.60 eV per cell
# - Energy of formation from the pure elements: 559 meV/atom
data_Ca2BeTlHg
_chemical_formula_sum 'Ca2 Be1 Tl1 Hg1'
_symmetry_space_group_name_H-M 'P 4/m m m'
_symmetry_Int_Tables_number 123
_symmetry_space_group_name_Hall '-P 4 2'
_cell_length_a 5.878
_cell_length_b 5.878
_cell_length_c 5.479
_cell_angle_alpha 90.00
_cell_angle_beta 90.00
_cell_angle_gamma 90.00
loop_
_atom_site_label
_atom_site_fract_x
_atom_site_fract_y
_atom_site_fract_z
Ca1 0.000 0.500 0.000
Be1 0.000 0.000 0.500
Tl1 0.500 0.500 0.500
Hg1 0.500 0.500 0.000


Record 7
# CaHo2Be, relaxed, DFT PBE-GGA
# - E_tot: -14.45 eV per cell
# - Energy of formation from the pure elements: 108 meV/atom
data_CaHo2Be
_chemical_formula_sum 'Ca1 Ho2 Be1'
_symmetry_space_group_name_H-M 'P 4/m m m'
_symmetry_Int_Tables_number 123
_symmetry_space_group_name_Hall '-P 4 2'
_cell_length_a 3.490
_cell_length_b 3.490
_cell_length_c 9.012
_cell_angle_alpha 90.00
_cell_angle_beta 90.00
_cell_angle_gamma 90.00
loop_
_atom_site_label
_atom_site_fract_x
_atom_site_fract_y
_atom_site_fract_z
Ca1 0.000 0.000 0.000
Ho1 0.500 0.500 0.324
Be1 0.000 0.000 0.500


Record 8
# CaHoBeN2, relaxed, DFT PBE-GGA
# - Uncorrected formation energy: -0.898 eV per atom
# - E_tot: -62.89 eV per cell
data_CaHoBeN2
_chemical_formula_sum 'Ca2 Ho2 Be2 N4'
_symmetry_space_group_name_H-M 'P c c m'
_symmetry_Int_Tables_number 49
_cell_length_a 5.027
_cell_length_b 5.124
_cell_length_c 6.502
_cell_angle_alpha 90.00
_cell_angle_beta 90.00
_cell_angle_gamma 90.00
loop_
_symmetry_equiv_pos_as_xyz
'x,y,z'
'-x,-y,-z'
'-x,-y,z'
'x,y,-z'
'x,-y,-z+1/2'
'-x,y,z+1/2'
'-x,y,-z+1/2'
'x,-y,z+1/2'
loop_
_atom_site_label
_atom_site_fract_x
_atom_site_fract_y
_atom_site_fract_z
Ca1 0.000 0.000 0.250
Ho1 0.500 0.500 0.250
Be1 0.500 0.000 0.000
N1 0.307 0.236 0.000


Record 9
# CaHoBe2Si2, relaxed, DFT PBE-GGA
# - Uncorrected formation energy: -0.497 eV per atom
# - E_tot: -27.86 eV per cell
data_CaHoBe2Si2
_chemical_formula_sum 'Ca1 Ho1 Be2 Si2'
_symmetry_space_group_name_H-M 'P -3 m 1'
_symmetry_Int_Tables_number 164
_symmetry_space_group_name_Hall '-P 3 2"'
_cell_length_a 3.8960
_cell_length_b 3.8960
_cell_length_c 8.2657
_cell_angle_alpha 90.00
_cell_angle_beta 90.00
_cell_angle_gamma 120.00
loop_
_atom_site_label
_atom_site_fract_x
_atom_site_fract_y
_atom_site_fract_z
Ca1 0.0000 0.0000 0.0000
Ho1 0.0000 0.0000 0.5000
Be1 0.3333 0.6667 0.7322
Si1 0.3333 0.6667 0.2624


Record 10
# CaBe3I, relaxed, DFT PBE-GGA
# - Uncorrected formation energy: 1.690 eV per atom
# - E_tot: -6.28 eV per cell
# - Polymorph energy (0 for the lowest one): 376 meV/atom
data_CaBe3I
_chemical_formula_sum 'Ca1 Be3 I1'
_symmetry_space_group_name_H-M 'P m -3 m'
_symmetry_Int_Tables_number 221
_symmetry_space_group_name_Hall '-P 4 2 3'
_cell_length_a 5.672
_cell_length_b 5.672
_cell_length_c 5.672
_cell_angle_alpha 90.00
_cell_angle_beta 90.00
_cell_angle_gamma 90.00
loop_
_atom_site_label
_atom_site_fract_x
_atom_site_fract_y
_atom_site_fract_z
Ca1 0.000 0.000 0.000
Be1 0.000 0.000 0.500
I1 0.500 0.500 0.500


Record 11
# CaBe2I6, relaxed, DFT PBE-GGA
# - Uncorrected formation energy: -0.846 eV per atom
# - E_tot: -105.48 eV per cell
data_CaBe2I6
_chemical_formula_sum 'Ca4 Be8 I24'
_symmetry_space_group_name_H-M 'C 1 2/c 1'
_symmetry_Int_Tables_number 15
_cell_length_a 15.300
_cell_length_b 13.819
_cell_length_c 7.249
_cell_angle_alpha 90.00
_cell_angle_beta 113.71
_cell_angle_gamma 90.00
loop_
_symmetry_equiv_pos_as_xyz
'x,y,z'
'-x,-y,-z'
'-x,y,-z+1/2'
'x,-y,z+1/2'
'x+1/2,y+1/2,z'
'-x+1/2,-y+1/2,-z'
'-x+1/2,y+1/2,-z+1/2'
'x+1/2,-y+1/2,z+1/2'
loop_
_atom_site_label
_atom_site_fract_x
_atom_site_fract_y
_atom_site_fract_z
Ca1 0.000 0.246 0.250
Be1 0.211 0.084 0.648
I1 0.121 0.412 0.174
I2 0.128 0.219 0.700
I3 0.155 0.066 0.279


Record 12
# Ca3BeI, relaxed, DFT PBE-GGA
# - Uncorrected formation energy: -0.107 eV per atom
# - E_tot: -11.82 eV per cell
# - Polymorph energy (0 for the lowest one): 0 meV/atom
data_Ca3BeI
_chemical_formula_sum 'Ca3 Be1 I1'
_symmetry_space_group_name_H-M 'P m -3 m'
_symmetry_Int_Tables_number 221
_symmetry_space_group_name_Hall '-P 4 2 3'
_cell_length_a 5.625
_cell_length_b 5.625
_cell_length_c 5.625
_cell_angle_alpha 90.00
_cell_angle_beta 90.00
_cell_angle_gamma 90.00
loop_
_atom_site_label
_atom_site_fract_x
_atom_site_fract_y
_atom_site_fract_z
Ca1 0.000 0.000 0.500
Be1 0.000 0.000 0.000
I1 0.500 0.500 0.500